DFT (PBE-GGA) results for DyTm2Ru3 after structural relaxation.

energy = -7.280 eV per atom
calculated formation energy = -384.8 meV/atom
symmetry = No. 65
calculated volume = 114.7 Å³/cell

Lattice parameters (Å, degrees): 7.524 7.524 3.379 90.00 90.00 143.16
Fractional positions:
Dy1 0.000 0.000 0.000
Tm1 0.333 0.667 0.000
Tm2 0.667 0.333 0.000
Ru1 0.168 0.832 0.500
Ru2 0.500 0.500 0.500
Ru3 0.832 0.168 0.500